(1)
## Ca2Pr5Sm2 (PBE)

Data for a geometry-optimized Ca2Pr5Sm2 structure.

a = 10.210 Å, b = 10.210 Å, c = 9.206 Å
α = 99.38°, β = 99.38°, γ = 20.57°
Fractional coordinates of all 9 atoms:
Ca: 0.066 0.066 0.184
Ca: 0.934 0.934 0.816
Pr: 0.265 0.265 0.836
Pr: 0.324 0.324 0.481
Pr: 0.500 0.500 0.500
Pr: 0.676 0.676 0.519
Pr: 0.735 0.735 0.164
Sm: 0.393 0.393 0.159
Sm: 0.607 0.607 0.841

Values from the calculation:
Volume (A^3/atom): 36.9
Space-group type: No. 12
Total energy (eV per atom): -4.04
ΔE_f (kJ/mol of atoms): 10.7

(2)
## CaPrSm (PBE)

Data for a geometry-optimized CaPrSm structure.

a = 3.717 Å, b = 3.717 Å, c = 9.256 Å
α = 90.00°, β = 90.00°, γ = 120.00°
Fractional coordinates of all 3 atoms:
Ca: 0.000 0.000 0.000
Pr: 0.667 0.333 0.349
Sm: 0.333 0.667 0.658

Values from the calculation:
Volume (A^3/atom): 36.9
Space-group type: No. 156
Total energy (eV per atom): -3.80
Offset from the most stable computed form (kJ per mole of atoms): 0.7
ΔE_f (kJ/mol of atoms): 3.6

(3)
## CaPrSm4 (PBE)

Data for a geometry-optimized CaPrSm4 structure.

a = 6.793 Å, b = 6.793 Å, c = 6.793 Å
α = 60.00°, β = 60.00°, γ = 60.00°
Fractional coordinates of all 6 atoms:
Ca: 0.000 0.000 0.000
Pr: 0.750 0.750 0.750
Sm: 0.376 0.376 0.376
Sm: 0.376 0.376 0.871
Sm: 0.376 0.871 0.376
Sm: 0.871 0.376 0.376

Values from the calculation:
Volume (A^3/atom): 36.9
Space-group type: No. 216
Total energy (eV per atom): -4.08
Offset from the most stable computed form (kJ per mole of atoms): 14.2
ΔE_f (kJ/mol of atoms): 19.2

(4)
## CaPr2Sm4 (PBE)

Data for a geometry-optimized CaPr2Sm4 structure.

a = 21.316 Å, b = 21.316 Å, c = 21.316 Å
α = 9.90°, β = 9.90°, γ = 9.90°
Fractional coordinates of all 7 atoms:
Ca: 0.000 0.000 0.000
Pr: 0.429 0.429 0.429
Pr: 0.571 0.571 0.571
Sm: 0.144 0.144 0.144
Sm: 0.283 0.283 0.283
Sm: 0.717 0.717 0.717
Sm: 0.856 0.856 0.856

Values from the calculation:
Volume (A^3/atom): 35.5
Space-group type: No. 166
Total energy (eV per atom): -4.32
ΔE_f (kJ/mol of atoms): 3.2